VASP calculation (meta-GGA SCAN) on a crystal of AgOsAu relaxed with PBEsol.

Calculated values
Density: 17.62 g/cm³
Calculated volume: 47 Å³ per cell
Space group: P3m1
Raw total energy: -56.97 eV/atom
Fermi-level density of states: 0.61 states/eV per atom
Formation energy from the elements: 0.500 eV per atom
ΔE to the lowest computed polymorph: 0 meV per atom
Size of the total moment: 0.0 μB/f.u.

Lattice parameters (Å, degrees): 2.767 2.767 7.033 90.00 90.00 120.00
Element x y z (fractional)
1 Ag 0.000 0.000 0.000
2 Os 0.667 0.333 0.330
3 Au 0.333 0.667 0.658

VASP calculation (meta-GGA SCAN) on a crystal of Li2CrO3 relaxed with PBEsol.

Calculated values
Density: 3.22 g/cm³
Calculated volume: 118 Å³ per cell
Space group: C2/c
Raw total energy: -9.32 eV/atom
Fermi-level density of states: 0.00 states/eV per atom
ΔE to the lowest computed polymorph: 0 meV per atom
Size of the total moment: 2.0 μB/f.u.

Lattice parameters (Å, degrees): 5.276 5.276 5.253 113.31 113.31 65.69
Element x y z (fractional)
1 Li 0.082 0.240 0.077
2 Li 0.240 0.082 0.577
3 Li 0.760 0.918 0.423
4 Li 0.918 0.760 0.923
5 Cr 0.414 0.586 0.750
6 Cr 0.586 0.414 0.250
7 O 0.110 0.890 0.750
8 O 0.284 0.418 0.933
9 O 0.418 0.284 0.433
10 O 0.582 0.716 0.567
11 O 0.716 0.582 0.067
12 O 0.890 0.110 0.250

VASP calculation (meta-GGA SCAN) on a crystal of LiMg2Rh2 relaxed with PBEsol.

Calculated values
Density: 5.47 g/cm³
Calculated volume: 159 Å³ per cell
Space group: P4/mbm
Raw total energy: -16.31 eV/atom
Fermi-level density of states: 0.34 states/eV per atom
Formation energy from the elements: -0.334 eV per atom
Size of the total moment: 0.0 μB/f.u.

Lattice parameters (Å, degrees): 7.070 7.070 3.172 90.00 90.00 90.00
Element x y z (fractional)
1 Li 0.000 0.000 0.000
2 Li 0.500 0.500 0.000
3 Mg 0.162 0.338 0.500
4 Mg 0.338 0.838 0.500
5 Mg 0.662 0.162 0.500
6 Mg 0.838 0.662 0.500
7 Rh 0.135 0.635 0.000
8 Rh 0.365 0.135 0.000
9 Rh 0.635 0.865 0.000
10 Rh 0.865 0.365 0.000